Record 1
Material: TlBr
Method: DFT, PBE
State: relaxed

Cell lengths 9.149, 9.149, 9.149 Å; angles 90.00, 90.00, 90.00 degrees
Positions (direct):
Br: 0.500 0.750 0.000
Br: 0.250 0.000 0.500
Br: 0.000 0.500 0.750
Br: 0.750 0.000 0.500
Br: 0.500 0.250 0.000
Tl: 0.000 0.250 0.500
Tl: 0.250 0.500 0.000
Tl: 0.000 0.750 0.500
Br: 0.000 0.500 0.250
Tl: 0.750 0.500 0.000
Tl: 0.500 0.000 0.250
Tl: 0.500 0.000 0.750

Its space group is Pm-3n. As for the uncorrected formation energy: -0.782 eV per atom. Its calculated total energy is -33.6 eV per cell. For the volume, the calculation gives 765.9 Å³/cell.

Record 2
Material: Tl3Br4
Method: DFT, PBE
State: relaxed

Cell lengths 7.274, 7.274, 5.390 Å; angles 90.00, 90.00, 120.00 degrees
Positions (direct):
Tl: 0.000 0.500 0.000
Br: 0.000 0.000 0.252
Tl: 0.500 0.000 0.000
Br: 0.667 0.333 0.500
Br: 0.000 0.000 0.748
Tl: 0.500 0.500 0.000
Br: 0.333 0.667 0.500

Its space group is P6/mmm. As for the uncorrected formation energy: -0.555 eV per atom. Its calculated total energy is -17.7 eV per cell. For the volume, the calculation gives 247.0 Å³/cell.

Record 3
Material: TlBr
Method: DFT, PBE
State: relaxed

Cell lengths 4.037, 4.038, 4.038 Å; angles 90.00, 90.03, 90.00 degrees
Positions (direct):
Tl: 0.659 0.500 0.865
Br: 0.156 0.000 0.367

Its space group is Amm2. As for the uncorrected formation energy: -0.818 eV per atom. Its calculated total energy is -5.7 eV per cell. For the volume, the calculation gives 65.8 Å³/cell.

Record 4
Material: Tl3Br4
Method: DFT, PBE
State: relaxed

Cell lengths 4.768, 4.768, 13.495 Å; angles 79.83, 79.83, 60.00 degrees
Positions (direct):
Br: 0.134 0.134 0.599
Br: 0.380 0.380 0.861
Tl: 0.765 0.765 0.706
Br: 0.620 0.620 0.139
Tl: 0.000 0.000 0.000
Br: 0.866 0.866 0.401
Tl: 0.235 0.235 0.294

Its space group is R-3m. As for the uncorrected formation energy: -0.680 eV per atom. Its calculated total energy is -18.6 eV per cell. For the volume, the calculation gives 260.1 Å³/cell.

Record 5
Material: TlBr3
Method: DFT, PBE
State: relaxed

Cell lengths 10.024, 10.024, 7.647 Å; angles 49.05, 49.05, 90.00 degrees
Positions (direct):
Br: 0.754 0.125 0.250
Br: 0.996 0.625 0.250
Br: 0.375 0.246 0.750
Tl: 0.750 0.250 0.500
Tl: 0.000 0.000 0.000
Br: 0.500 0.500 0.000
Br: 0.250 0.750 0.500
Br: 0.875 0.004 0.750

Its space group is I-42d. As for the uncorrected formation energy: -0.246 eV per atom. Its calculated total energy is -16.7 eV per cell. For the volume, the calculation gives 288.3 Å³/cell.

Record 6
Material: TlBr
Method: DFT, PBE
State: relaxed

Cell lengths 4.568, 4.568, 4.223 Å; angles 90.00, 90.00, 120.00 degrees
Positions (direct):
Br: 0.333 0.667 0.000
Tl: 0.000 0.000 0.500

Its space group is P-6m2. As for the uncorrected formation energy: -0.834 eV per atom. Its calculated total energy is -5.7 eV per cell. For the volume, the calculation gives 76.3 Å³/cell.

Record 7
Material: Tl2Br
Method: DFT, PBE
State: relaxed

Cell lengths 4.585, 7.208, 12.089 Å; angles 90.00, 90.00, 90.00 degrees
Positions (direct):
Tl: 0.250 0.617 0.744
Tl: 0.250 0.155 0.441
Tl: 0.750 0.383 0.256
Tl: 0.750 0.345 0.941
Tl: 0.750 0.883 0.244
Tl: 0.250 0.117 0.756
Tl: 0.250 0.655 0.059
Br: 0.250 0.642 0.388
Br: 0.750 0.858 0.888
Br: 0.750 0.358 0.612
Tl: 0.750 0.845 0.559
Br: 0.250 0.142 0.112

Its space group is Pnma. As for the uncorrected formation energy: -0.432 eV per atom. Its calculated total energy is -30.8 eV per cell. For the volume, the calculation gives 399.5 Å³/cell.

Record 8
Material: TlBr
Method: DFT, PBE
State: relaxed

Cell lengths 7.420, 7.420, 7.420 Å; angles 147.58, 138.09, 53.96 degrees
Positions (direct):
Br: 0.021 0.021 0.000
Br: 0.729 0.229 0.500
Tl: 0.229 0.729 0.500
Tl: 0.521 0.521 0.000

Its space group is Imma. As for the uncorrected formation energy: -0.756 eV per atom. Its calculated total energy is -11.1 eV per cell. For the volume, the calculation gives 145.4 Å³/cell.

Q: Number 5 is which compound?
A: TlBr3